Entry 1:
12
Lattice="5.820 1.070 -1.682 -1.302 5.773 -1.682 -0.720 -1.090 8.493" Properties=species:S:1:pos:R:3 comment="La2CdSi3, optimized geometry, DFT GGA-PBE" mass_density_g_cm3=5.66 pbc="T T T"
Cd 2.765 4.189 0.559
Si 0.650 5.023 -0.584
La 1.085 1.644 -0.808
La 3.680 1.701 2.565
Cd 1.033 1.564 4.570
La 0.118 4.052 2.565
Si 0.499 0.756 2.209
Si 3.148 0.730 5.713
La 3.432 5.199 -2.555
Si 3.299 4.997 2.920
Si -0.566 3.182 5.713
Si 4.364 2.571 -0.584

=====

Entry 2:
32
Lattice="4.376 0.000 0.000 0.000 11.437 0.000 0.000 0.000 14.091" Properties=species:S:1:pos:R:3 comment="LaCdSi2, optimized geometry, DFT GGA-PBE" mass_density_g_cm3=5.79 pbc="T T T"
Si 1.094 2.816 4.001
Si 1.094 4.966 12.200
Si 1.094 5.310 7.366
Si 3.282 11.029 13.770
La 3.282 0.482 2.729
Si 3.282 6.471 1.891
Si 3.282 8.158 5.520
La 3.282 2.689 13.329
La 1.094 10.955 11.362
Si 1.094 2.902 11.046
Si 1.094 3.279 8.571
La 3.282 3.030 6.283
Cd 3.282 3.924 2.833
Si 3.282 10.684 8.937
Si 3.282 8.535 3.045
La 1.094 8.407 7.808
Si 3.282 8.621 10.090
Si 3.282 8.997 12.566
La 1.094 8.748 0.762
Cd 1.094 0.624 7.906
Si 1.094 0.408 0.321
Si 1.094 0.753 5.154
La 3.282 5.236 9.774
Cd 3.282 6.343 13.230
Cd 1.094 9.642 4.212
Cd 3.282 10.813 6.185
Cd 1.094 5.094 0.861
Si 1.094 2.440 1.526
Cd 3.282 1.795 9.879
Cd 1.094 7.513 11.258
La 1.094 6.201 4.317
Si 3.282 6.127 6.725

=====

Number 1: DOS at the Fermi energy 3.438 states/eV per cell, formation energy without anion corrections -0.587 eV per atom. Number 2: DOS at the Fermi energy 15.440 states/eV per cell, formation energy without anion corrections -0.420 eV per atom.